VASP calculation (PBE-GGA) on a relaxed K2RbSnBi2 crystal.

Lattice parameters (Å, degrees): 7.684 9.212 9.892 117.75 112.85 90.00
Positions (direct):
K 0.321 0.148 0.642
K 0.679 0.852 0.358
K 0.179 0.506 0.358
K 0.821 0.494 0.642
Rb 0.750 0.000 0.000
Rb 0.250 0.000 0.000
Sn 0.750 0.500 0.000
Sn 0.250 0.500 0.000
Bi 0.105 0.800 0.209
Bi 0.605 0.409 0.209
Bi 0.395 0.591 0.791
Bi 0.895 0.200 0.791

Summary:
Formation energy from the elements ... -294 meV/atom
VASP energy ... -2.782 eV per atom
M_tot ... 0.000 μB per atom
Calculated density ... 4.18 g/cm³